A relaxed structure of MgMn2AgSn, computed with GGA-PBE.

calculated total energy	-4.463	eV/atom
space-group type	P4/mmm (123)
magnetization	8.25	μB/f.u.
Fermi-level density of states	3.999	states/eV per cell

```
MgMn2AgSn
1.0
5.146 0.000 0.000
0.000 5.146 0.000
0.000 0.000 5.328
Mg Mn Ag Sn
1 2 1 1
direct
0.000 0.000 0.000 Mg
0.000 0.500 0.500 Mn
0.500 0.000 0.500 Mn
0.500 0.500 0.000 Ag
0.000 0.000 0.500 Sn
```

***

A relaxed structure of MgMnAgSn, computed with GGA-PBE.

calculated total energy	-4.341	eV/atom
space-group type	F-43m (216)
magnetization	3.80	μB/f.u.
Fermi-level density of states	1.565	states/eV per cell

```
MgMnAgSn
1.0
0.000 3.361 3.361
3.361 0.000 3.361
3.361 3.361 0.000
Mg Mn Ag Sn
1 1 1 1
direct
0.000 0.000 0.000 Mg
0.500 0.500 0.500 Mn
0.750 0.750 0.750 Ag
0.250 0.250 0.250 Sn
```

***

A relaxed structure of TmMgMnAg, computed with GGA-PBE.

calculated total energy	-4.486	eV/atom
space-group type	F-43m (216)
magnetization	3.98	μB/f.u.
Fermi-level density of states	3.727	states/eV per cell

```
TmMgMnAg
1.0
0.000 3.445 3.445
3.445 0.000 3.445
3.445 3.445 0.000
Tm Mg Mn Ag
1 1 1 1
direct
0.000 0.000 0.000 Tm
0.500 0.500 0.500 Mg
0.250 0.250 0.250 Mn
0.750 0.750 0.750 Ag
```

***

A relaxed structure of MgAg2Mo, computed with GGA-PBE.

calculated total energy	-4.018	eV/atom
space-group type	F-43m (216)
magnetization	2.00	μB/f.u.
Fermi-level density of states	4.048	states/eV per cell

```
MgAg2Mo
1.0
0.000 3.276 3.276
3.276 0.000 3.276
3.276 3.276 0.000
Mg Ag Mo
1 2 1
direct
0.000 0.000 0.000 Mg
0.250 0.250 0.250 Ag
0.500 0.500 0.500 Ag
0.750 0.750 0.750 Mo
```

***

A relaxed structure of MgAg2Mo, computed with GGA-PBE.

calculated total energy	-4.080	eV/atom
space-group type	Immm (71)
magnetization	0.42	μB/f.u.
Fermi-level density of states	3.545	states/eV per cell

```
MgAg2Mo
1.0
-1.397 2.520 5.034
1.397 -2.520 5.034
1.397 2.520 -5.034
Mg Ag Mo
1 2 1
direct
0.000 0.000 0.000 Mg
0.248 0.748 0.500 Ag
0.752 0.252 0.500 Ag
0.500 0.500 0.000 Mo
```

***

A relaxed structure of MgAg2Mo, computed with GGA-PBE.

calculated total energy	-4.062	eV/atom
space-group type	P4/mmm (123)
magnetization	1.36	μB/f.u.
Fermi-level density of states	3.706	states/eV per cell

```
MgAg2Mo
1.0
4.188 0.000 0.000
0.000 4.188 0.000
0.000 0.000 4.023
Mg Ag Mo
1 2 1
direct
0.000 0.000 0.000 Mg
0.000 0.500 0.500 Ag
0.500 0.000 0.500 Ag
0.500 0.500 0.000 Mo
```

***

A relaxed structure of MgAg2Mo, computed with GGA-PBE.

calculated total energy	-4.295	eV/atom
space-group type	P4/mmm (123)
magnetization	0.00	μB/f.u.
Fermi-level density of states	1.873	states/eV per cell

```
MgAg2Mo
1.0
2.843 0.000 0.000
0.000 2.843 0.000
0.000 0.000 8.444
Mg Ag Mo
1 2 1
direct
0.000 0.000 0.000 Mg
0.500 0.500 0.248 Ag
0.500 0.500 0.752 Ag
0.000 0.000 0.500 Mo
```

***

A relaxed structure of MgAg2Mo, computed with GGA-PBE.

calculated total energy	-4.183	eV/atom
space-group type	Pm (6)
magnetization	0.56	μB/f.u.
Fermi-level density of states	3.040	states/eV per cell

```
MgAg2Mo
1.0
2.739 0.000 0.000
0.000 4.720 0.000
-0.490 0.000 5.361
Mg Ag Mo
1 2 1
direct
0.000 0.000 0.000 Mg
0.366 0.500 0.803 Ag
0.388 0.000 0.499 Ag
0.798 0.500 0.306 Mo
```